[1]
A plane-wave DFT calculation with GGA-PBEsol was carried out for a geometry-optimized Sr2LaMg structure. Values from VASP.

- Fermi-level density of states: 5.18 states/eV/cell
- Size of the total moment: 0.000 μB per atom
- Energy relative to the elements: 0.5 eV per formula unit
- SG: P2/m (10)
- V: 154 Å³/f.u.
- Calculated density: 3.7 g cm⁻³
- Crystal system: monoclinic

The structure in Quantum ESPRESSO input format:
```
&SYSTEM
  ibrav = 0, nat = 4, ntyp = 3
/
ATOMIC_SPECIES
Sr 87.62 Sr.upf
La 138.91 La.upf
Mg 24.30 Mg.upf
CELL_PARAMETERS angstrom
3.7861 0.0000 0.0000
0.0000 5.4414 0.0000
-0.0079 0.0000 7.4603
ATOMIC_POSITIONS crystal
Sr 0.0004 0.0000 0.2411
Sr 0.9996 0.0000 0.7589
La 0.5000 0.5000 0.5000
Mg 0.5000 0.5000 0.0000
```

[2]
A plane-wave DFT calculation with GGA-PBEsol was carried out for a geometry-optimized Sr2LaYMg structure. Values from VASP.

- Fermi-level density of states: 9.41 states/eV/cell
- Size of the total moment: 0.007 μB per atom
- Energy relative to the elements: 3.1 eV per formula unit
- SG: P4/mmm (123)
- V: 220 Å³/f.u.
- Calculated density: 3.2 g cm⁻³
- Crystal system: tetragonal

The structure in Quantum ESPRESSO input format:
```
&SYSTEM
  ibrav = 0, nat = 5, ntyp = 4
/
ATOMIC_SPECIES
Sr 87.62 Sr.upf
La 138.91 La.upf
Y 88.91 Y.upf
Mg 24.30 Mg.upf
CELL_PARAMETERS angstrom
6.0583 0.0000 0.0000
0.0000 6.0583 0.0000
0.0000 0.0000 5.9923
ATOMIC_POSITIONS crystal
Sr 0.0000 0.5000 0.0000
Sr 0.5000 0.0000 0.0000
La 0.0000 0.0000 0.5000
Y 0.5000 0.5000 0.5000
Mg 0.0000 0.0000 0.0000
```

[3]
A plane-wave DFT calculation with GGA-PBEsol was carried out for a geometry-optimized LaMgTa structure. Values from VASP.

- Fermi-level density of states: 10.94 states/eV/cell
- Size of the total moment: 0.684 μB per atom
- Energy relative to the elements: 4.4 eV per formula unit
- ΔE to the lowest computed polymorph: 1145 meV/atom
- SG: F-43m (216)
- V: 84 Å³/f.u.
- Calculated density: 6.8 g cm⁻³
- Crystal system: cubic

The structure in Quantum ESPRESSO input format:
```
&SYSTEM
  ibrav = 0, nat = 12, ntyp = 3
/
ATOMIC_SPECIES
La 138.91 La.upf
Mg 24.30 Mg.upf
Ta 180.95 Ta.upf
CELL_PARAMETERS angstrom
6.9585 0.0000 0.0000
0.0000 6.9585 0.0000
0.0000 0.0000 6.9585
ATOMIC_POSITIONS crystal
La 0.0000 0.0000 0.0000
La 0.0000 0.5000 0.5000
La 0.5000 0.0000 0.5000
La 0.5000 0.5000 0.0000
Mg 0.2500 0.2500 0.7500
Mg 0.2500 0.7500 0.2500
Mg 0.7500 0.2500 0.2500
Mg 0.7500 0.7500 0.7500
Ta 0.2500 0.2500 0.2500
Ta 0.2500 0.7500 0.7500
Ta 0.7500 0.2500 0.7500
Ta 0.7500 0.7500 0.2500
```

[4]
A plane-wave DFT calculation with GGA-PBEsol was carried out for a geometry-optimized LaMg2Ta structure. Values from VASP.

- Fermi-level density of states: 3.69 states/eV/cell
- Size of the total moment: 0.000 μB per atom
- Energy relative to the elements: 1.2 eV per formula unit
- ΔE to the lowest computed polymorph: 1 meV/atom
- SG: Immm (71)
- V: 92 Å³/f.u.
- Calculated density: 6.6 g cm⁻³
- Crystal system: orthorhombic

The structure in Quantum ESPRESSO input format:
```
&SYSTEM
  ibrav = 0, nat = 8, ntyp = 3
/
ATOMIC_SPECIES
La 138.91 La.upf
Mg 24.30 Mg.upf
Ta 180.95 Ta.upf
CELL_PARAMETERS angstrom
3.1790 0.0000 0.0000
0.0000 5.1069 0.0000
0.0000 0.0000 11.3705
ATOMIC_POSITIONS crystal
La 0.0000 0.0000 0.0000
La 0.5000 0.5000 0.5000
Mg 0.0000 0.5000 0.2230
Mg 0.0000 0.5000 0.7770
Mg 0.5000 0.0000 0.2770
Mg 0.5000 0.0000 0.7230
Ta 0.0000 0.0000 0.5000
Ta 0.5000 0.5000 0.0000
```

[5]
A plane-wave DFT calculation with GGA-PBEsol was carried out for a geometry-optimized LaMgTa structure. Values from VASP.

- Fermi-level density of states: 4.16 states/eV/cell
- Size of the total moment: 0.000 μB per atom
- Energy relative to the elements: 1.0 eV per formula unit
- ΔE to the lowest computed polymorph: 0 meV/atom
- SG: I4mm (107)
- V: 69 Å³/f.u.
- Calculated density: 8.2 g cm⁻³
- Crystal system: tetragonal

The structure in Quantum ESPRESSO input format:
```
&SYSTEM
  ibrav = 0, nat = 6, ntyp = 3
/
ATOMIC_SPECIES
La 138.91 La.upf
Mg 24.30 Mg.upf
Ta 180.95 Ta.upf
CELL_PARAMETERS angstrom
3.0178 0.0000 0.0000
0.0000 3.0178 0.0000
0.0000 0.0000 15.2408
ATOMIC_POSITIONS crystal
La 0.0000 0.0000 0.0000
La 0.5000 0.5000 0.5000
Mg 0.0000 0.0000 0.6936
Mg 0.5000 0.5000 0.1936
Ta 0.0000 0.0000 0.3362
Ta 0.5000 0.5000 0.8362
```

[6]
A plane-wave DFT calculation with GGA-PBEsol was carried out for a geometry-optimized LaMg2Ta structure. Values from VASP.

- Fermi-level density of states: 2.57 states/eV/cell
- Size of the total moment: 0.000 μB per atom
- Energy relative to the elements: 1.5 eV per formula unit
- ΔE to the lowest computed polymorph: 76 meV/atom
- SG: Pmmm (47)
- V: 91 Å³/f.u.
- Calculated density: 6.8 g cm⁻³
- Crystal system: orthorhombic

The structure in Quantum ESPRESSO input format:
```
&SYSTEM
  ibrav = 0, nat = 4, ntyp = 3
/
ATOMIC_SPECIES
La 138.91 La.upf
Mg 24.30 Mg.upf
Ta 180.95 Ta.upf
CELL_PARAMETERS angstrom
3.1964 0.0000 0.0000
0.0000 5.0818 0.0000
0.0000 0.0000 5.5796
ATOMIC_POSITIONS crystal
La 0.0000 0.0000 0.0000
Mg 0.0000 0.5000 0.5000
Mg 0.5000 0.0000 0.5000
Ta 0.5000 0.5000 0.0000
```

[7]
A plane-wave DFT calculation with GGA-PBEsol was carried out for a geometry-optimized LaMg2Ta structure. Values from VASP.

- Fermi-level density of states: 13.52 states/eV/cell
- Size of the total moment: 0.000 μB per atom
- Energy relative to the elements: 1.8 eV per formula unit
- ΔE to the lowest computed polymorph: 146 meV/atom
- SG: Fm-3m (225)
- V: 91 Å³/f.u.
- Calculated density: 6.7 g cm⁻³
- Crystal system: cubic

The structure in Quantum ESPRESSO input format:
```
&SYSTEM
  ibrav = 0, nat = 16, ntyp = 3
/
ATOMIC_SPECIES
La 138.91 La.upf
Mg 24.30 Mg.upf
Ta 180.95 Ta.upf
CELL_PARAMETERS angstrom
7.1384 0.0000 0.0000
0.0000 7.1384 0.0000
0.0000 0.0000 7.1384
ATOMIC_POSITIONS crystal
La 0.0000 0.0000 0.0000
La 0.0000 0.5000 0.5000
La 0.5000 0.0000 0.5000
La 0.5000 0.5000 0.0000
Mg 0.2500 0.2500 0.2500
Mg 0.2500 0.2500 0.7500
Mg 0.2500 0.7500 0.2500
Mg 0.2500 0.7500 0.7500
Mg 0.7500 0.2500 0.2500
Mg 0.7500 0.2500 0.7500
Mg 0.7500 0.7500 0.2500
Mg 0.7500 0.7500 0.7500
Ta 0.0000 0.0000 0.5000
Ta 0.0000 0.5000 0.0000
Ta 0.5000 0.0000 0.0000
Ta 0.5000 0.5000 0.5000
```

[8]
A plane-wave DFT calculation with GGA-PBEsol was carried out for a geometry-optimized LaMg2Ta structure. Values from VASP.

- Fermi-level density of states: 13.27 states/eV/cell
- Size of the total moment: 0.000 μB per atom
- Energy relative to the elements: 1.2 eV per formula unit
- ΔE to the lowest computed polymorph: 0 meV/atom
- SG: R-3m (166)
- V: 91 Å³/f.u.
- Calculated density: 6.8 g cm⁻³
- Crystal system: trigonal

The structure in Quantum ESPRESSO input format:
```
&SYSTEM
  ibrav = 0, nat = 12, ntyp = 3
/
ATOMIC_SPECIES
La 138.91 La.upf
Mg 24.30 Mg.upf
Ta 180.95 Ta.upf
CELL_PARAMETERS angstrom
3.0516 0.0000 0.0000
-1.5258 2.6428 0.0000
0.0000 0.0000 33.6657
ATOMIC_POSITIONS crystal
La 0.0000 0.0000 0.0000
La 0.3333 0.6667 0.6667
La 0.6667 0.3333 0.3333
Mg 0.0000 0.0000 0.2413
Mg 0.0000 0.0000 0.7587
Mg 0.3333 0.6667 0.4254
Mg 0.3333 0.6667 0.9080
Mg 0.6667 0.3333 0.0920
Mg 0.6667 0.3333 0.5746
Ta 0.0000 0.0000 0.5000
Ta 0.3333 0.6667 0.1667
Ta 0.6667 0.3333 0.8333
```

[9]
A plane-wave DFT calculation with GGA-PBEsol was carried out for a geometry-optimized LaMg2Ta structure. Values from VASP.

- Fermi-level density of states: 3.51 states/eV/cell
- Size of the total moment: 0.000 μB per atom
- Energy relative to the elements: 1.8 eV per formula unit
- ΔE to the lowest computed polymorph: 143 meV/atom
- SG: P4/mmm (123)
- V: 92 Å³/f.u.
- Calculated density: 6.7 g cm⁻³
- Crystal system: tetragonal

The structure in Quantum ESPRESSO input format:
```
&SYSTEM
  ibrav = 0, nat = 4, ntyp = 3
/
ATOMIC_SPECIES
La 138.91 La.upf
Mg 24.30 Mg.upf
Ta 180.95 Ta.upf
CELL_PARAMETERS angstrom
4.3846 0.0000 0.0000
0.0000 4.3846 0.0000
0.0000 0.0000 4.7809
ATOMIC_POSITIONS crystal
La 0.0000 0.0000 0.0000
Mg 0.0000 0.5000 0.5000
Mg 0.5000 0.0000 0.5000
Ta 0.5000 0.5000 0.0000
```

[10]
A plane-wave DFT calculation with GGA-PBEsol was carried out for a geometry-optimized La2MgTc structure. Values from VASP.

- Fermi-level density of states: 7.48 states/eV/cell
- Size of the total moment: 0.000 μB per atom
- Energy relative to the elements: 0.3 eV per formula unit
- SG: Cmmm (65)
- V: 105 Å³/f.u.
- Calculated density: 6.3 g cm⁻³
- Crystal system: orthorhombic

The structure in Quantum ESPRESSO input format:
```
&SYSTEM
  ibrav = 0, nat = 8, ntyp = 3
/
ATOMIC_SPECIES
La 138.91 La.upf
Mg 24.30 Mg.upf
Tc 98.00 Tc.upf
CELL_PARAMETERS angstrom
4.8925 0.0000 0.0000
0.0000 4.9021 0.0000
0.0000 0.0000 8.7282
ATOMIC_POSITIONS crystal
La 0.0000 0.0000 0.1979
La 0.0000 0.0000 0.8021
La 0.5000 0.5000 0.1979
La 0.5000 0.5000 0.8021
Mg 0.0000 0.5000 0.5000
Mg 0.5000 0.0000 0.5000
Tc 0.0000 0.5000 0.0000
Tc 0.5000 0.0000 0.0000
```